# 1
OsRhO4: relaxed, PBE.

## Properties
total magnetic moment: 0.0 μB per cell
energy above the lowest structure with this stoichiometry: 0.36 eV/f.u.
space-group type: Pbcn
calculated total energy: -7.241 eV per atom

a b c (Å): 4.4867 5.6565 10.3387
angles (deg): 90.00 90.00 90.00
Fractional positions:
Os 0.0000 0.1950 0.2500
Os 0.0000 0.8050 0.7500
Os 0.5000 0.3050 0.7500
Os 0.5000 0.6950 0.2500
Rh 0.0000 0.5000 0.0000
Rh 0.0000 0.5000 0.5000
Rh 0.5000 0.0000 0.0000
Rh 0.5000 0.0000 0.5000
O 0.2156 0.2267 0.0872
O 0.2156 0.7733 0.5872
O 0.2372 0.4571 0.3281
O 0.2372 0.5429 0.8281
O 0.2628 0.0429 0.8281
O 0.2628 0.9571 0.3281
O 0.2844 0.2733 0.5872
O 0.2844 0.7267 0.0872
O 0.7156 0.2733 0.9128
O 0.7156 0.7267 0.4128
O 0.7372 0.0429 0.6719
O 0.7372 0.9571 0.1719
O 0.7628 0.4571 0.1719
O 0.7628 0.5429 0.6719
O 0.7844 0.2267 0.4128
O 0.7844 0.7733 0.9128

# 2
Re2IrRuS: relaxed, PBE.

## Properties
total magnetic moment: 0.0 μB per cell
space-group type: P4/mmm
calculated total energy: -8.493 eV per atom

a b c (Å): 4.3131 4.3131 4.2596
angles (deg): 90.00 90.00 90.00
Fractional positions:
Re 0.0000 0.5000 0.0000
Re 0.5000 0.0000 0.0000
Ir 0.0000 0.0000 0.5000
Ru 0.5000 0.5000 0.5000
S 0.5000 0.5000 0.0000

Please write out number 1 again, unchanged.
OsRhO4: relaxed, PBE.

## Properties
total magnetic moment: 0.0 μB per cell
energy above the lowest structure with this stoichiometry: 0.36 eV/f.u.
space-group type: Pbcn
calculated total energy: -7.241 eV per atom

a b c (Å): 4.4867 5.6565 10.3387
angles (deg): 90.00 90.00 90.00
Fractional positions:
Os 0.0000 0.1950 0.2500
Os 0.0000 0.8050 0.7500
Os 0.5000 0.3050 0.7500
Os 0.5000 0.6950 0.2500
Rh 0.0000 0.5000 0.0000
Rh 0.0000 0.5000 0.5000
Rh 0.5000 0.0000 0.0000
Rh 0.5000 0.0000 0.5000
O 0.2156 0.2267 0.0872
O 0.2156 0.7733 0.5872
O 0.2372 0.4571 0.3281
O 0.2372 0.5429 0.8281
O 0.2628 0.0429 0.8281
O 0.2628 0.9571 0.3281
O 0.2844 0.2733 0.5872
O 0.2844 0.7267 0.0872
O 0.7156 0.2733 0.9128
O 0.7156 0.7267 0.4128
O 0.7372 0.0429 0.6719
O 0.7372 0.9571 0.1719
O 0.7628 0.4571 0.1719
O 0.7628 0.5429 0.6719
O 0.7844 0.2267 0.4128
O 0.7844 0.7733 0.9128

Q: Which value of calculated total energy does entry 1 give?
A: -7.241 eV per atom